Here is a relaxed structure of Rb2ScTePb from the Alexandria database. Energies are from GGA-PBE.

Cell lengths 6.639, 6.639, 5.592 Å; angles 90.00, 90.00, 90.00 degrees
Element x y z (fractional)
Rb 0.000 0.500 0.000
Rb 0.500 0.000 0.000
Sc 0.000 0.000 0.500
Te 0.500 0.500 0.500
Pb 0.000 0.000 0.000

As for the space group: P4/mmm. As for the uncorrected formation energy: 129 meV/atom.



Here is a relaxed structure of RbPbSe3 from the Alexandria database. Energies are from GGA-PBE.

Cell lengths 5.679, 5.679, 5.679 Å; angles 90.00, 90.00, 90.00 degrees
Element x y z (fractional)
Rb 0.000 0.000 0.000
Pb 0.500 0.500 0.500
Se 0.000 0.000 0.500
Se 0.000 0.500 0.000
Se 0.500 0.000 0.000

As for the space group: Pm-3m. As for the uncorrected formation energy: 714 meV/atom.



Here is a relaxed structure of Rb5Pb2Se6 from the Alexandria database. Energies are from GGA-PBE.

Cell lengths 13.363, 15.222, 4.931 Å; angles 90.00, 90.00, 90.00 degrees
Element x y z (fractional)
Rb 0.000 0.000 0.000
Rb 0.081 0.256 0.000
Rb 0.183 0.504 0.000
Rb 0.317 0.004 0.000
Rb 0.419 0.756 0.000
Rb 0.500 0.500 0.000
Rb 0.581 0.244 0.000
Rb 0.683 0.996 0.000
Rb 0.817 0.496 0.000
Rb 0.919 0.744 0.000
Pb 0.169 0.711 0.500
Pb 0.331 0.211 0.500
Pb 0.669 0.789 0.500
Pb 0.831 0.289 0.500
Se 0.004 0.582 0.500
Se 0.163 0.111 0.500
Se 0.169 0.810 0.000
Se 0.331 0.310 0.000
Se 0.337 0.611 0.500
Se 0.496 0.082 0.500
Se 0.504 0.918 0.500
Se 0.663 0.389 0.500
Se 0.669 0.690 0.000
Se 0.831 0.190 0.000
Se 0.837 0.889 0.500
Se 0.996 0.418 0.500

As for the space group: Pbam. As for the uncorrected formation energy: -862 meV/atom.



Here is a relaxed structure of RbPb2Se2 from the Alexandria database. Energies are from GGA-PBE.

Cell lengths 8.832, 8.832, 4.084 Å; angles 90.00, 90.00, 90.00 degrees
Element x y z (fractional)
Rb 0.000 0.000 0.000
Rb 0.500 0.500 0.000
Pb 0.129 0.371 0.500
Pb 0.371 0.871 0.500
Pb 0.629 0.129 0.500
Pb 0.871 0.629 0.500
Se 0.151 0.651 0.000
Se 0.349 0.151 0.000
Se 0.651 0.849 0.000
Se 0.849 0.349 0.000

As for the space group: P4/mbm. As for the uncorrected formation energy: -427 meV/atom. The energy relative to the lowest polymorph listed for this composition comes out at 0.77 eV per formula unit.



Here is a relaxed structure of RbPb2Se from the Alexandria database. Energies are from GGA-PBE.

Cell lengths 11.889, 11.889, 11.889 Å; angles 155.54, 155.54, 34.87 degrees
Element x y z (fractional)
Rb 0.000 0.000 0.000
Rb 0.750 0.250 0.500
Pb 0.202 0.625 0.077
Pb 0.375 0.452 0.577
Pb 0.548 0.125 0.923
Pb 0.875 0.798 0.423
Se 0.250 0.750 0.500
Se 0.500 0.500 0.000

As for the space group: I-42d. As for the uncorrected formation energy: -282 meV/atom.



Here is a relaxed structure of Rb2Pb2Se from the Alexandria database. Energies are from GGA-PBE.

Cell lengths 8.688, 8.688, 8.688 Å; angles 145.45, 145.45, 49.67 degrees
Element x y z (fractional)
Rb 0.250 0.750 0.500
Rb 0.750 0.250 0.500
Pb 0.087 0.087 0.000
Pb 0.913 0.913 0.000
Se 0.500 0.500 0.000

As for the space group: I4/mmm. As for the uncorrected formation energy: 248 meV/atom.



Here is a relaxed structure of RbPb2Se2 from the Alexandria database. Energies are from GGA-PBE.

Cell lengths 6.767, 6.767, 6.767 Å; angles 130.52, 130.52, 72.58 degrees
Element x y z (fractional)
Rb 0.000 0.000 0.000
Pb 0.345 0.345 0.000
Pb 0.655 0.655 0.000
Se 0.250 0.750 0.500
Se 0.750 0.250 0.500

As for the space group: I4/mmm. As for the uncorrected formation energy: -581 meV/atom. The energy relative to the lowest polymorph listed for this composition comes out at 0.00 eV per formula unit.



Here is a relaxed structure of RbPbSe3 from the Alexandria database. Energies are from GGA-PBE.

Cell lengths 5.587, 5.587, 5.587 Å; angles 90.00, 90.00, 90.00 degrees
Element x y z (fractional)
Rb 0.000 0.000 0.000
Pb 0.500 0.500 0.500
Se 0.000 0.500 0.500
Se 0.500 0.000 0.500
Se 0.500 0.500 0.000

As for the space group: Pm-3m. As for the uncorrected formation energy: -203 meV/atom.



Here is a relaxed structure of RbPb4Se5 from the Alexandria database. Energies are from GGA-PBE.

Cell lengths 7.688, 7.688, 11.067 Å; angles 118.78, 118.78, 33.24 degrees
Element x y z (fractional)
Rb 0.000 0.000 0.000
Pb 0.203 0.203 0.800
Pb 0.400 0.400 0.599
Pb 0.600 0.600 0.401
Pb 0.797 0.797 0.200
Se 0.000 0.000 0.500
Se 0.204 0.204 0.322
Se 0.386 0.386 0.114
Se 0.614 0.614 0.886
Se 0.796 0.796 0.678

As for the space group: C2/m. As for the uncorrected formation energy: -599 meV/atom.



Here is a relaxed structure of RbPbSe from the Alexandria database. Energies are from GGA-PBE.

Cell lengths 5.162, 5.162, 4.851 Å; angles 90.00, 90.00, 120.00 degrees
Element x y z (fractional)
Rb 0.000 0.000 0.000
Pb 0.667 0.333 0.500
Se 0.333 0.667 0.500

As for the space group: P-6m2. As for the uncorrected formation energy: -529 meV/atom. The energy relative to the lowest polymorph listed for this composition comes out at 0.41 eV per formula unit.



Here is a relaxed structure of RbPbSe from the Alexandria database. Energies are from GGA-PBE.

Cell lengths 4.082, 5.583, 9.563 Å; angles 90.00, 92.08, 90.00 degrees
Element x y z (fractional)
Rb 0.230 0.250 0.349
Rb 0.770 0.750 0.651
Pb 0.176 0.750 0.060
Pb 0.824 0.250 0.940
Se 0.284 0.250 0.718
Se 0.716 0.750 0.282

As for the space group: P2_1/m. As for the uncorrected formation energy: -665 meV/atom. The energy relative to the lowest polymorph listed for this composition comes out at 0.00 eV per formula unit.



Here is a relaxed structure of Rb3PbSe3 from the Alexandria database. Energies are from GGA-PBE.

Cell lengths 9.914, 8.636, 13.795 Å; angles 90.00, 96.66, 90.00 degrees
Element x y z (fractional)
Rb 0.080 0.162 0.127
Rb 0.080 0.338 0.627
Rb 0.323 0.735 0.794
Rb 0.323 0.765 0.294
Rb 0.400 0.235 0.921
Rb 0.400 0.265 0.421
Rb 0.600 0.735 0.579
Rb 0.600 0.765 0.079
Rb 0.677 0.235 0.706
Rb 0.677 0.265 0.206
Rb 0.920 0.662 0.373
Rb 0.920 0.838 0.873
Pb 0.167 0.588 0.051
Pb 0.167 0.912 0.551
Pb 0.833 0.088 0.449
Pb 0.833 0.412 0.949
Se 0.095 0.051 0.366
Se 0.095 0.449 0.866
Se 0.259 0.618 0.521
Se 0.259 0.882 0.021
Se 0.367 0.076 0.658
Se 0.367 0.424 0.158
Se 0.633 0.576 0.842
Se 0.633 0.924 0.342
Se 0.741 0.118 0.979
Se 0.741 0.382 0.479
Se 0.905 0.551 0.134
Se 0.905 0.949 0.634

As for the space group: P2_1/c. As for the uncorrected formation energy: -876 meV/atom.



Here is a relaxed structure of Rb3PbSe3 from the Alexandria database. Energies are from GGA-PBE.

Cell lengths 8.769, 8.769, 8.491 Å; angles 95.60, 95.60, 114.21 degrees
Element x y z (fractional)
Rb 0.176 0.824 0.000
Rb 0.240 0.760 0.500
Rb 0.386 0.386 0.136
Rb 0.614 0.614 0.864
Rb 0.760 0.240 0.500
Rb 0.824 0.176 0.000
Pb 0.184 0.184 0.635
Pb 0.816 0.816 0.365
Se 0.090 0.090 0.282
Se 0.165 0.467 0.780
Se 0.467 0.165 0.780
Se 0.533 0.835 0.220
Se 0.835 0.533 0.220
Se 0.910 0.910 0.718

As for the space group: C2/m. As for the uncorrected formation energy: -875 meV/atom.



Here is a relaxed structure of RbPb2Se2 from the Alexandria database. Energies are from GGA-PBE.

Cell lengths 8.267, 8.267, 7.798 Å; angles 116.28, 116.28, 99.25 degrees
Element x y z (fractional)
Rb 0.125 0.875 0.750
Rb 0.875 0.125 0.250
Pb 0.236 0.487 0.974
Pb 0.487 0.236 0.474
Pb 0.513 0.764 0.526
Pb 0.764 0.513 0.026
Se 0.156 0.844 0.250
Se 0.406 0.594 0.750
Se 0.594 0.406 0.250
Se 0.844 0.156 0.750

As for the space group: C2/c. As for the uncorrected formation energy: -498 meV/atom. The energy relative to the lowest polymorph listed for this composition comes out at 0.42 eV per formula unit.



Here is a relaxed structure of RbPbSe2 from the Alexandria database. Energies are from GGA-PBE.

Cell lengths 7.856, 7.856, 7.856 Å; angles 119.55, 119.55, 90.77 degrees
Element x y z (fractional)
Rb 0.000 0.000 0.000
Rb 0.750 0.250 0.500
Pb 0.250 0.750 0.500
Pb 0.500 0.500 0.000
Se 0.198 0.625 0.073
Se 0.375 0.448 0.573
Se 0.552 0.125 0.927
Se 0.875 0.802 0.427

As for the space group: I-42d. As for the uncorrected formation energy: -624 meV/atom.



Here is a relaxed structure of RbPbSe2 from the Alexandria database. Energies are from GGA-PBE.

Cell lengths 8.589, 8.589, 8.589 Å; angles 29.15, 29.15, 29.15 degrees
Element x y z (fractional)
Rb 0.000 0.000 0.000
Pb 0.832 0.832 0.832
Se 0.234 0.234 0.234
Se 0.432 0.432 0.432

As for the space group: R3m. As for the uncorrected formation energy: -640 meV/atom.



Here is a relaxed structure of Rb5Pb2Se4 from the Alexandria database. Energies are from GGA-PBE.

Cell lengths 9.540, 9.540, 10.659 Å; angles 115.62, 115.62, 31.22 degrees
Element x y z (fractional)
Rb 0.000 0.000 0.000
Rb 0.232 0.232 0.110
Rb 0.366 0.366 0.569
Rb 0.634 0.634 0.431
Rb 0.768 0.768 0.890
Pb 0.062 0.062 0.684
Pb 0.938 0.938 0.316
Se 0.209 0.209 0.667
Se 0.428 0.428 0.159
Se 0.572 0.572 0.841
Se 0.791 0.791 0.333

As for the space group: C2/m. As for the uncorrected formation energy: -851 meV/atom.



Here is a relaxed structure of Rb2Si2PbSe6 from the Alexandria database. Energies are from GGA-PBE.

Cell lengths 9.457, 9.457, 9.457 Å; angles 46.64, 46.64, 46.64 degrees
Element x y z (fractional)
Rb 0.220 0.220 0.220
Rb 0.780 0.780 0.780
Si 0.416 0.416 0.416
Si 0.584 0.584 0.584
Pb 0.000 0.000 0.000
Se 0.240 0.747 0.747
Se 0.253 0.253 0.760
Se 0.253 0.760 0.253
Se 0.747 0.240 0.747
Se 0.747 0.747 0.240
Se 0.760 0.253 0.253

As for the space group: R-3m. As for the uncorrected formation energy: -616 meV/atom.



Here is a relaxed structure of RbSmPbSe3 from the Alexandria database. Energies are from GGA-PBE.

Cell lengths 8.311, 4.270, 12.105 Å; angles 90.00, 106.23, 90.00 degrees
Element x y z (fractional)
Rb 0.076 0.250 0.168
Rb 0.924 0.750 0.832
Sm 0.434 0.750 0.842
Sm 0.566 0.250 0.158
Pb 0.280 0.250 0.538
Pb 0.720 0.750 0.462
Se 0.142 0.750 0.636
Se 0.280 0.250 0.948
Se 0.419 0.750 0.271
Se 0.581 0.250 0.729
Se 0.720 0.750 0.052
Se 0.858 0.250 0.364

As for the space group: P2_1/m. As for the uncorrected formation energy: -1296 meV/atom.



Here is a relaxed structure of RbSn3Pb2Se6 from the Alexandria database. Energies are from GGA-PBE.

Cell lengths 9.760, 9.760, 8.973 Å; angles 100.35, 100.35, 25.49 degrees
Element x y z (fractional)
Rb 0.000 0.000 0.000
Sn 0.000 0.000 0.500
Sn 0.332 0.332 0.169
Sn 0.668 0.668 0.831
Pb 0.329 0.329 0.660
Pb 0.671 0.671 0.340
Se 0.157 0.157 0.606
Se 0.182 0.182 0.111
Se 0.487 0.487 0.706
Se 0.513 0.513 0.294
Se 0.818 0.818 0.889
Se 0.843 0.843 0.394

As for the space group: C2/m. As for the uncorrected formation energy: -550 meV/atom.



Here is a relaxed structure of Rb2SnPbSe5 from the Alexandria database. Energies are from GGA-PBE.

Cell lengths 11.295, 11.295, 14.294 Å; angles 90.00, 90.00, 159.47 degrees
Element x y z (fractional)
Rb 0.117 0.883 0.500
Rb 0.120 0.880 0.881
Rb 0.880 0.120 0.381
Rb 0.883 0.117 0.000
Sn 0.436 0.564 0.644
Sn 0.564 0.436 0.144
Pb 0.229 0.771 0.236
Pb 0.771 0.229 0.736
Se 0.041 0.959 0.256
Se 0.280 0.720 0.871
Se 0.323 0.677 0.600
Se 0.344 0.656 0.188
Se 0.489 0.511 0.491
Se 0.511 0.489 0.991
Se 0.656 0.344 0.688
Se 0.677 0.323 0.100
Se 0.720 0.280 0.371
Se 0.959 0.041 0.756

As for the space group: Cmc2_1. As for the uncorrected formation energy: -585 meV/atom.



Here is a relaxed structure of RbSn2Pb3Se6 from the Alexandria database. Energies are from GGA-PBE.

Cell lengths 9.701, 9.701, 9.057 Å; angles 99.87, 99.87, 25.82 degrees
Element x y z (fractional)
Rb 0.000 0.000 0.000
Sn 0.334 0.334 0.673
Sn 0.666 0.666 0.327
Pb 0.000 0.000 0.500
Pb 0.337 0.337 0.182
Pb 0.663 0.663 0.818
Se 0.166 0.166 0.594
Se 0.180 0.180 0.120
Se 0.482 0.482 0.722
Se 0.518 0.518 0.278
Se 0.820 0.820 0.880
Se 0.834 0.834 0.406

As for the space group: C2/m. As for the uncorrected formation energy: -556 meV/atom.